No. 1
## Pm15PrHo4 (GGA-PBE)

Data for a geometry-optimized Pm15PrHo4 structure.

Results
E_tot in eV per atom: -4.703
M_tot in μB/f.u.: 0.00
D(E_F) in states/eV per cell: 27.89

a = 5.1350 Å, b = 5.1350 Å, c = 25.6034 Å
α = 90.00°, β = 90.00°, γ = 90.00°
With the nearest neighbours (Å) after each atom.
Space group P4/mmm (No. 123)
Symmetry-distinct sites (fractional):
Pm: 0.0000 0.0000 0.0000 (multiplicity 1)  4 Pr 3.63, 8 Pm 3.66
Pm: 0.0000 0.0000 0.2020 (multiplicity 2)  8 Pm 3.61-3.63, 4 Ho 3.63
Pm: 0.0000 0.0000 0.4005 (multiplicity 2)  8 Pm 3.62, 4 Ho 3.63
Pm: 0.0000 0.5000 0.1020 (multiplicity 4)  2 Ho 3.62, 8 Pm 3.63-3.66, 2 Pr 3.66
Pm: 0.0000 0.5000 0.3010 (multiplicity 4)  8 Pm 3.61-3.63, 4 Ho 3.62
Pm: 0.0000 0.5000 0.5000 (multiplicity 2)  4 Ho 3.62, 8 Pm 3.62-3.63
Pr: 0.5000 0.5000 0.0000 (multiplicity 1)  12 Pm 3.63-3.66
Ho: 0.5000 0.5000 0.2016 (multiplicity 2)  12 Pm 3.62-3.63
Ho: 0.5000 0.5000 0.4005 (multiplicity 2)  12 Pm 3.62-3.63


No. 2
## Pm2Pr3Ho5 (GGA-PBE)

Data for a geometry-optimized Pm2Pr3Ho5 structure.

Results
M_tot in μB/f.u.: 0.00
D(E_F) in states/eV per cell: 59.96
ΔE to the lowest computed polymorph in kJ/mol of atoms: 19.3

a = 9.5063 Å, b = 22.0226 Å, c = 6.8541 Å
α = 90.00°, β = 90.00°, γ = 90.00°
With the nearest neighbours (Å) after each atom.
Space group Ibam (No. 72)
Symmetry-distinct sites (fractional):
Pm: 0.1005 0.1277 0.0000 (multiplicity 8)  1 Ho 2.96
Pr: 0.0000 0.0000 0.2500 (multiplicity 4)  2 Pr 3.43, 4 Pm 3.43
Pr: 0.2477 0.3662 0.0000 (multiplicity 8)  1 Ho 3.20, 1 Pm 3.36
Ho: 0.0000 0.2521 0.2500 (multiplicity 8)  4 Ho 3.32-3.43, 2 Pm 3.37
Ho: 0.0000 0.5000 0.2500 (multiplicity 4)  6 Ho 3.34-3.43
Ho: 0.0879 0.3757 0.5000 (multiplicity 8)  1 Pm 2.96, 1 Pr 3.20


No. 3
## Pm2PrHo9 (GGA-PBE)

Data for a geometry-optimized Pm2PrHo9 structure.

Results
M_tot in μB/f.u.: 0.00
D(E_F) in states/eV per cell: 22.74
ΔE to the lowest computed polymorph in kJ/mol of atoms: 6.6

a = 5.8927 Å, b = 5.8927 Å, c = 11.0921 Å
α = 90.00°, β = 90.00°, γ = 90.00°
With the nearest neighbours (Å) after each atom.
Space group P4/mmm (No. 123)
Symmetry-distinct sites (fractional):
Pm: 0.0000 0.0000 0.1659 (multiplicity 2)  8 Ho 3.47-3.48, 1 Pm 3.68, 1 Pr 3.71
Pr: 0.0000 0.0000 0.5000 (multiplicity 1)  8 Ho 3.49, 2 Pm 3.71
Ho: 0.0000 0.5000 0.0000 (multiplicity 2)  4 Pm 3.47, 6 Ho 3.48-3.68
Ho: 0.0000 0.5000 0.3322 (multiplicity 4)  6 Ho 3.47-3.72, 2 Pm 3.48, 2 Pr 3.49
Ho: 0.5000 0.5000 0.1666 (multiplicity 2)  10 Ho 3.47-3.70
Ho: 0.5000 0.5000 0.5000 (multiplicity 1)  10 Ho 3.49-3.70


No. 4
## PmPr2Ho (GGA-PBE)

Data for a geometry-optimized PmPr2Ho structure.

Results
M_tot in μB/f.u.: 0.00
D(E_F) in states/eV per cell: 17.52
ΔE to the lowest computed polymorph in kJ/mol of atoms: 0.6

a = 3.6620 Å, b = 3.6620 Å, c = 35.6142 Å
α = 90.00°, β = 90.00°, γ = 120.00°
With the nearest neighbours (Å) after each atom.
Space group R3m (No. 160, hexagonal axes)
Symmetry-distinct sites (fractional):
Pm: 0.0000 0.0000 0.0000 (multiplicity 3)  6 Pm 3.66, 6 Pr 3.67-3.69
Pr: 0.0000 0.0000 0.2484 (multiplicity 3)  3 Ho 3.62, 6 Pr 3.66, 3 Pm 3.69
Pr: 0.0000 0.0000 0.4175 (multiplicity 3)  3 Ho 3.60, 6 Pr 3.66, 3 Pm 3.67
Ho: 0.0000 0.0000 0.8325 (multiplicity 3)  6 Pr 3.60-3.62, 6 Ho 3.66


No. 5
## Pm9Pr11Ho4 (GGA-PBE)

Data for a geometry-optimized Pm9Pr11Ho4 structure.

Results
E_tot in eV per atom: -4.680
M_tot in μB/f.u.: 0.00
D(E_F) in states/eV per cell: 64.04

a = 17.2352 Å, b = 26.3632 Å, c = 3.7049 Å
α = 90.00°, β = 90.00°, γ = 90.00°
With the nearest neighbours (Å) after each atom.
Space group Cmmm (No. 65)
Symmetry-distinct sites (fractional):
Pm: 0.0000 0.0000 0.0000 (multiplicity 2)  2 Pm 3.70, 4 Ho 3.83, 8 Pr 3.90-4.05
Pm: 0.1031 0.2311 0.0000 (multiplicity 8)  1 Ho 3.54, 3 Pm 3.56-3.70, 8 Pr 3.61-3.80
Pm: 0.1388 0.4258 0.0000 (multiplicity 8)  1 Ho 3.56, 8 Pr 3.60-3.82, 3 Pm 3.70-3.91
Pr: 0.0000 0.1302 0.5000 (multiplicity 4)  4 Ho 3.39, 4 Pm 3.70, 2 Pr 3.70
Pr: 0.0000 0.3371 0.5000 (multiplicity 4)  4 Pr 3.70-3.86, 8 Pm 3.80-3.82
Pr: 0.0000 0.5000 0.5000 (multiplicity 2)  8 Pm 3.60, 2 Pr 3.70
Pr: 0.2093 0.0000 0.5000 (multiplicity 4)  4 Ho 3.37, 2 Pr 3.70, 4 Pm 3.76
Pr: 0.2221 0.3195 0.5000 (multiplicity 8)  2 Ho 3.46, 6 Pm 3.61-3.78, 4 Pr 3.70-3.86
Ho: 0.1587 0.1016 0.0000 (multiplicity 8)  6 Pr 3.37-3.46, 2 Pm 3.54-3.56, 2 Ho 3.70


No. 6
## PmPr6Ho8 (GGA-PBE)

Data for a geometry-optimized PmPr6Ho8 structure.

Results
E_tot in eV per atom: -4.547
M_tot in μB/f.u.: 0.00
D(E_F) in states/eV per cell: 64.78

a = 9.1378 Å, b = 9.1378 Å, c = 21.0122 Å
α = 90.00°, β = 90.00°, γ = 120.00°
With the nearest neighbours (Å) after each atom.
Space group R-3 (No. 148, hexagonal axes)
Symmetry-distinct sites (fractional):
Pm: 0.0000 0.0000 0.0000 (multiplicity 3)  6 Pr 3.49, 6 Ho 3.58
Pr: 0.0607 0.2481 0.7108 (multiplicity 18)  4 Ho 3.40-3.72, 1 Pm 3.49, 2 Pr 3.54
Ho: 0.0000 0.0000 0.4236 (multiplicity 6)  4 Ho 3.21-3.44, 3 Pr 3.49
Ho: 0.0799 0.5578 0.8076 (multiplicity 18)  3 Pr 3.40-3.72, 5 Ho 3.44-3.48, 1 Pm 3.58


No. 7
## Pm3PrHo3 (GGA-PBE)

Data for a geometry-optimized Pm3PrHo3 structure.

Results
M_tot in μB/f.u.: 0.00
D(E_F) in states/eV per cell: 43.38
ΔE to the lowest computed polymorph in kJ/mol of atoms: 0.0

a = 11.4343 Å, b = 11.6045 Å, c = 7.2673 Å
α = 90.00°, β = 90.03°, γ = 90.00°
With the nearest neighbours (Å) after each atom.
Space group C2/m (No. 12)
Symmetry-distinct sites (fractional):
Pm: 0.9997 0.0000 0.2465 (multiplicity 4)  2 Pm 3.58-3.68, 6 Ho 3.64-3.77, 2 Pr 3.84-3.85
Pm: 0.2494 0.2491 0.7541 (multiplicity 8)  6 Ho 3.39-3.44, 2 Pr 3.47-3.48, 2 Pm 3.57-3.69
Pr: 0.2047 0.5000 0.5003 (multiplicity 4)  6 Pm 3.47-3.85, 4 Ho 3.55-3.64
Ho: 0.0000 0.2703 0.5000 (multiplicity 4)  6 Pm 3.41-3.64, 2 Pr 3.55, 2 Ho 3.64
Ho: 0.0000 0.2824 0.0000 (multiplicity 4)  6 Pm 3.39-3.73, 4 Ho 3.49-3.64
Ho: 0.2105 0.5000 0.9995 (multiplicity 4)  6 Pm 3.43-3.77, 2 Ho 3.49, 2 Pr 3.63-3.64


No. 8
## Pm3Pr5Ho (GGA-PBE)

Data for a geometry-optimized Pm3Pr5Ho structure.

Results
E_tot in eV per atom: -4.357
M_tot in μB/f.u.: 0.02
D(E_F) in states/eV per cell: 59.40

a = 17.4692 Å, b = 8.2849 Å, c = 9.6658 Å
α = 90.00°, β = 104.84°, γ = 90.00°
With the nearest neighbours (Å) after each atom.
Space group C2/m (No. 12)
Symmetry-distinct sites (fractional):
Pm: 0.0000 0.0000 0.0000 (multiplicity 2)  2 Pr 2.68
Pm: 0.0000 0.0000 0.5000 (multiplicity 2)  2 Ho 3.46, 4 Pr 3.62, 2 Pm 3.81
Pm: 0.1509 0.0000 0.2766 (multiplicity 4)  1 Pm 3.24
Pm: 0.1890 0.5000 0.2650 (multiplicity 4)  6 Pr 3.39-3.61, 1 Ho 3.58
Pr: 0.0000 0.3235 0.0000 (multiplicity 4)  1 Pm 2.68, 1 Pr 2.93
Pr: 0.0021 0.5000 0.6728 (multiplicity 4)  8 Pr 3.32-3.69, 1 Pm 3.54
Pr: 0.1623 0.2851 0.5747 (multiplicity 8)  5 Pm 3.56-3.69, 5 Pr 3.56-3.75, 1 Ho 3.63
Pr: 0.1912 0.5000 0.9156 (multiplicity 4)  2 Pm 3.39-3.70, 1 Ho 3.43, 3 Pr 3.53-3.66
Ho: 0.1285 0.0000 0.8378 (multiplicity 4)  1 Pm 3.05


No. 9
## Pm2PrHo2 (GGA-PBE)

Data for a geometry-optimized Pm2PrHo2 structure.

Results
M_tot in μB/f.u.: 0.00
D(E_F) in states/eV per cell: 11.20
ΔE to the lowest computed polymorph in kJ/mol of atoms: 3.4

a = 9.4297 Å, b = 9.4297 Å, c = 3.8192 Å
α = 90.00°, β = 90.00°, γ = 90.00°
With the nearest neighbours (Å) after each atom.
Space group P4/mbm (No. 127)
Symmetry-distinct sites (fractional):
Pm: 0.1280 0.3720 0.0000 (multiplicity 4)  6 Ho 3.31-3.42, 1 Pm 3.41
Pr: 0.0000 0.0000 0.0000 (multiplicity 2)  4 Pm 3.71, 2 Pr 3.82, 8 Ho 3.99
Ho: 0.1694 0.6694 0.5000 (multiplicity 4)  6 Pm 3.31-3.42